This record from the Alexandria database describes a geometry-optimized Cs4Rb4Hg structure. The functional is PBE-GGA.

The structure in extended XYZ format:
```
18
Lattice="12.852 0.000 0.000 0.000 12.852 0.000 0.000 0.000 9.664" Properties=species:S:1:pos:R:3 pbc="T T T"
Cs 0.537 8.814 1.162
Cs 2.388 12.315 5.994
Cs 4.038 6.963 5.994
Cs 5.889 10.464 1.162
Cs 6.963 2.388 8.502
Cs 8.814 5.889 3.670
Cs 10.464 0.537 3.670
Cs 12.315 4.038 8.502
Rb 0.902 4.101 4.070
Rb 2.325 0.902 0.762
Rb 4.101 5.524 0.762
Rb 5.524 2.325 4.070
Rb 7.328 10.527 5.594
Rb 8.751 7.328 8.902
Rb 10.527 11.950 8.902
Rb 11.950 8.751 5.594
Hg 3.213 3.213 7.248
Hg 9.639 9.639 2.416
```

SG: P4_2/n (86)
Total moment (μB per atom): 0.000
E_form (eV per atom): -0.047
Electronic total energy (eV for the cell shown): -16.01

---

This record from the Alexandria database describes a geometry-optimized PuTa2TcC4 structure. The functional is PBE-GGA.

The structure in extended XYZ format:
```
16
Lattice="1.617 -5.652 0.000 1.617 5.652 0.000 0.000 0.000 11.173" Properties=species:S:1:pos:R:3 pbc="T T T"
Pu 1.617 4.425 8.380
Pu 1.617 -4.425 2.793
Ta 1.617 1.463 6.010
Ta 1.617 1.463 10.750
Ta 1.617 -1.463 0.423
Ta 1.617 -1.463 5.164
Tc 1.617 3.898 2.793
Tc 1.617 -3.898 8.380
C 0.000 0.000 0.000
C 0.000 0.000 5.587
C 1.617 2.666 1.266
C 1.617 2.666 4.320
C 1.617 0.602 8.380
C 1.617 -0.602 2.793
C 1.617 -2.666 6.853
C 1.617 -2.666 9.907
```

SG: Cmcm (63)
Total moment (μB per atom): 0.608
E_form (eV per atom): -0.190
Electronic total energy (eV for the cell shown): -173.64

---

This record from the Alexandria database describes a geometry-optimized Nd8InSn2 structure. The functional is PBE-GGA.

The structure in extended XYZ format:
```
11
Lattice="9.931 -2.652 0.000 9.931 2.652 0.000 -1.775 0.000 6.823" Properties=species:S:1:pos:R:3 pbc="T T T"
Nd -0.149 0.000 1.810
Nd 2.764 0.000 5.603
Nd 5.864 0.000 3.433
Nd 8.056 0.000 0.134
Nd 10.031 0.000 6.689
Nd 12.224 0.000 3.390
Nd 15.323 0.000 1.220
Nd 18.236 0.000 5.013
In 9.044 0.000 3.412
Sn 3.107 0.000 1.718
Sn 14.980 0.000 5.105
```

SG: C2/m (12)
Total moment (μB per atom): 0.000
E_form (eV per atom): -0.341
Electronic total energy (eV for the cell shown): -52.64

---

Q: Among the records above, which one has the highest total moment?
A: PuTa2TcC4

---

Q: What is the E_form in the first record?
A: -0.047 eV per atom